[1]
## Na3ScRu (GGA-PBE)

Data for an optimized crystal structure of Na3ScRu.

Cell: 5.3808 5.3808 5.3808 Å, 90.00 90.00 90.00°
Closest atoms and distances in Å follow each position.
Space group Pm-3m (No. 221)
One atom of each set of equivalent atoms:
1 Na 0.0000 0.0000 0.5000 x3  2 Sc 2.69
2 Sc 0.0000 0.0000 0.0000 x1  6 Na 2.69
3 Ru 0.5000 0.5000 0.5000 x1  12 Na 3.80

* N(E_F): 9.06 states/eV per cell
* ΔE_f: 1906 meV/atom
* theoretical density: 2.29 g/cm³

=====

[2]
## Eu2SbI (GGA-PBE)

Data for an optimized crystal structure of Eu2SbI.

Cell: 8.0515 8.0515 8.0515 Å, 90.00 90.00 90.00°
Closest atoms and distances in Å follow each position.
Space group Fm-3m (No. 225)
One atom of each set of equivalent atoms:
1 Eu 0.2500 0.2500 0.2500 x8  4 Sb 3.49, 4 I 3.49
2 Sb 0.0000 0.0000 0.0000 x4  8 Eu 3.49
3 I 0.0000 0.0000 0.5000 x4  8 Eu 3.49

* E_form (uncorrected): -1.108 eV per atom
* N(E_F): 76.83 states/eV per cell
* theoretical density: 7.03 g/cm³

=====

[3]
## NaBi2Pb5 (GGA-PBE)

Data for an optimized crystal structure of NaBi2Pb5.

Cell: 9.8636 10.0204 7.0511 Å, 90.00 134.25 90.00°
Closest atoms and distances in Å follow each position.
Space group Cm (No. 8)
One atom of each set of equivalent atoms:
1 Na 0.0000 0.0000 0.0000 x2  4 Bi 3.51-3.52, 8 Pb 3.52-3.56
2 Bi 0.2501 0.2501 0.0001 x4  2 Na 3.51-3.52, 10 Pb 3.51-3.56
3 Pb 0.9997 0.0000 0.4995 x2  6 Pb 3.51-3.54, 2 Na 3.52-3.53, 4 Bi 3.55-3.56
4 Pb 0.0001 0.5000 0.4995 x2  6 Pb 3.51-3.53, 2 Na 3.53, 4 Bi 3.56
5 Pb 0.2498 0.2503 0.4994 x4  6 Pb 3.51-3.56, 4 Bi 3.52-3.54, 2 Na 3.56
6 Pb 0.4994 0.0000 0.9985 x2  4 Bi 3.51-3.52, 8 Pb 3.52-3.56

* N(E_F): 7.53 states/eV per cell
* ΔE_f: -71 meV/atom
* theoretical density: 9.83 g/cm³

=====

[4]
## Cs4TlCl5 (GGA-PBE)

Data for an optimized crystal structure of Cs4TlCl5.

Cell: 10.9954 10.9954 7.0230 Å, 90.00 90.00 90.00°
Closest atoms and distances in Å follow each position.
Space group I4 (No. 79)
One atom of each set of equivalent atoms:
1 Cs 0.0987 0.2985 0.0000 x8  6 Cl 3.48-3.61
2 Tl 0.0000 0.0000 0.4851 x2  5 Cl 3.04-3.34
3 Cl 0.0000 0.0000 0.0522 x2  1 Tl 3.04
4 Cl 0.0949 0.2883 0.5000 x8  1 Tl 3.34, 5 Cs 3.49-3.61

* E_form (uncorrected): -1.776 eV per atom
* N(E_F): 0.00 states/eV per cell
* theoretical density: 3.57 g/cm³

=====

[5]
## ZnGaCuIr (GGA-PBE)

Data for an optimized crystal structure of ZnGaCuIr.

Cell: 6.0502 6.0502 6.0502 Å, 90.00 90.00 90.00°
Closest atoms and distances in Å follow each position.
Space group F-43m (No. 216)
One atom of each set of equivalent atoms:
1 Zn 0.0000 0.0000 0.0000 x4  4 Cu 2.62, 4 Ir 2.62
2 Ga 0.0000 0.0000 0.5000 x4  4 Ir 2.62, 4 Cu 2.62
3 Cu 0.2500 0.2500 0.2500 x4  4 Zn 2.62, 4 Ga 2.62
4 Ir 0.2500 0.2500 0.7500 x4  4 Zn 2.62, 4 Ga 2.62

* N(E_F): 6.97 states/eV per cell
* ΔE_f: -217 meV/atom
* theoretical density: 11.72 g/cm³

=====

[6]
## Ag5IF4 (GGA-PBE)

Data for an optimized crystal structure of Ag5IF4.

Cell: 10.6084 4.0427 9.3902 Å, 90.00 118.86 90.00°
Closest atoms and distances in Å follow each position.
Space group C2/m (No. 12)
One atom of each set of equivalent atoms:
1 Ag 0.0000 0.0000 0.0000 x2  2 F 2.32
2 Ag 0.1338 0.5000 0.3783 x4  3 F 2.44-2.60
3 Ag 0.2067 0.0000 0.8319 x4  3 F 2.35-2.54
4 I 0.0000 0.0000 0.5000 x2  6 Ag 2.82-3.00
5 F 0.1012 0.5000 0.9005 x4  4 Ag 2.35-2.60
6 F 0.1819 0.0000 0.2678 x4  3 Ag 2.32-2.44

* E_form (uncorrected): -0.820 eV per atom
* N(E_F): 2.09 states/eV per cell
* theoretical density: 6.99 g/cm³

=====

[7]
## BaZn3Au6 (GGA-PBE)

Data for an optimized crystal structure of BaZn3Au6.

Cell: 7.1981 7.2294 9.1898 Å, 90.00 121.57 90.00°
Closest atoms and distances in Å follow each position.
Space group P2_1/c (No. 14)
One atom of each set of equivalent atoms:
1 Ba 0.0000 0.0000 0.0000 x2  10 Au 3.31-3.68, 6 Zn 3.43-3.60
2 Zn 0.2779 0.1613 0.4300 x4  4 Au 2.58-2.87, 1 Zn 2.81
3 Zn 0.5000 0.0000 0.0000 x2  6 Au 2.68-2.76, 2 Zn 2.81
4 Au 0.1376 0.0312 0.6820 x4  3 Zn 2.72-2.96, 5 Au 2.81-2.99
5 Au 0.2557 0.6934 0.8889 x4  3 Zn 2.58-2.87, 3 Au 2.81-2.88
6 Au 0.4798 0.2010 0.2472 x4  3 Zn 2.68-2.76, 4 Au 2.85-2.99

* N(E_F): 7.70 states/eV per cell
* ΔE_f: -304 meV/atom
* theoretical density: 12.35 g/cm³

=====

[8]
## Zr2RhSe (GGA-PBE)

Data for an optimized crystal structure of Zr2RhSe.

Cell: 6.0521 7.4036 3.3381 Å, 90.00 95.91 90.00°
Closest atoms and distances in Å follow each position.
Space group C2/m (No. 12)
One atom of each set of equivalent atoms:
1 Zr 0.2500 0.2500 0.0000 x4  4 Se 2.83-3.00, 4 Rh 2.83-3.00, 2 Zr 3.03
2 Rh 0.0000 0.0000 0.5000 x2  8 Zr 2.83-3.00, 2 Se 3.03
3 Se 0.0000 0.5000 0.5000 x2  8 Zr 2.83-3.00, 2 Rh 3.03

* E_form (uncorrected): -0.744 eV per atom
* N(E_F): 6.25 states/eV per cell
* theoretical density: 8.13 g/cm³